Here is a relaxed Ta6Al3H crystal from Alexandria via LeMat-Bulk. Energies are from GGA-PBE.

Structure (POSCAR):
```
Ta6Al3H
1.0
5.0723 0.0000 0.0958
0.0000 7.3073 0.0000
0.1476 0.0000 8.7357
Ta Al H
12 6 2
Cartesian
3.2278 1.1328 8.2956
2.9673 1.4709 5.0027
3.2211 3.4122 2.5222
1.9988 3.8950 6.3093
2.2527 5.8363 3.8288
1.9921 6.1744 0.5359
0.6179 2.5208 3.8799
0.3573 2.1827 0.5869
0.7588 0.2414 6.8422
4.4612 7.0659 1.9893
4.8626 5.1246 8.2446
4.6021 4.7865 4.9516
3.1997 6.4340 6.4997
2.5362 3.6536 0.0479
2.0203 0.8733 2.3318
0.5897 4.5269 2.0840
0.0738 0.0000 4.3679
4.6302 2.7804 6.7475
2.6100 3.6536 4.4157
0.0000 0.0000 0.0000
```

M_tot ... 0.0 μB per formula unit
V ... 16.18 Å³/atom
E_tot ... -8.5292 eV/atom
Symmetry ... P2_1/c, No. 14